DFT (PBE) results for a relaxed structure of CaAcHg17.

Energy of formation = -0.1318 eV per atom
D(E_F) = 7.1 states/eV/f.u.

Lattice parameters (Å, degrees): 9.6826 9.6826 19.3478 90.00 90.00 120.00
With the nearest neighbours (Å) after each atom.
Space group R3m (No. 160, hexagonal axes)
Unique sites:
1 Ca 0.0000 0.0000 0.0000 x3  16 Hg 3.45-3.83
2 Ac 0.0000 0.0000 0.5725 x3  13 Hg 3.43-3.77
3 Hg 0.0000 0.0000 0.1952 x3  3 Hg 3.13
4 Hg 0.0000 0.0000 0.3872 x3  9 Hg 3.10-3.42
5 Hg 0.0000 0.3024 0.2954 x18  4 Hg 2.93-3.05
6 Hg 0.0322 0.5161 0.4150 x9  6 Hg 2.99-3.12
7 Hg 0.1713 0.3426 0.1310 x9  6 Hg 3.10-3.38, 1 Ac 3.43
8 Hg 0.2143 0.4286 0.5130 x9  4 Hg 2.99-3.05